Model w:
A relaxed AcDy2Mn crystal, computed with PBE.

It has space group R-3m (No. 166, hexagonal axes), with a = 3.5467 Å, b = 3.5467 Å, c = 34.9454 Å, α = 90.00°, β = 90.00° and γ = 120.00°. The inequivalent atoms are Ac at (0.0000, 0.0000, 0.0000), Dy at (0.0000, 0.0000, 0.4205) and Mn at (0.0000, 0.0000, 0.5000).

The calculated volume comes out at 126.90 Å³/f.u. The density of states at the Fermi level is 1.22 states/eV per atom.

=====

Model x:
A relaxed AcDy2Mn crystal, computed with PBE.

It has space group P4/mmm (No. 123), with a = 3.6138 Å, b = 3.6138 Å, c = 9.1628 Å, α = 90.00°, β = 90.00° and γ = 90.00°. The inequivalent atoms are Ac at (0.0000, 0.0000, 0.0000), Dy at (0.5000, 0.5000, 0.3162) and Mn at (0.0000, 0.0000, 0.5000).

The calculated volume comes out at 119.66 Å³/f.u. The density of states at the Fermi level is 1.43 states/eV per atom.

=====

Last place for stability: model w

=====

Model w:
A relaxed AcNd2Dy2 crystal, computed with PBE.

It has space group I4/mmm (No. 139), with a = 6.0384 Å, b = 6.0384 Å, c = 10.1270 Å, α = 90.00°, β = 90.00° and γ = 90.00°. The inequivalent atoms are Ac at (0.0000, 0.0000, 0.0000), Nd at (0.0000, 0.0000, 0.3574) and Dy at (0.0000, 0.5000, 0.2500).

The calculated volume comes out at 184.63 Å³/f.u. The density of states at the Fermi level is 1.32 states/eV per atom.

=====

Model x:
A relaxed AcNd2Dy2 crystal, computed with PBE.

It has space group Fddd (No. 70, origin choice 2), with a = 5.7732 Å, b = 11.9225 Å, c = 23.7095 Å, α = 90.00°, β = 90.00° and γ = 90.00°. The inequivalent atoms are Ac at (0.1250, 0.1250, 0.1250), Nd at (0.1250, 0.3037, 0.6250) and Dy at (0.0000, 0.0000, 0.0000).

The calculated volume comes out at 203.99 Å³/f.u. The density of states at the Fermi level is 1.87 states/eV per atom.

=====

Last place for stability: model x

=====

Model w:
A relaxed AcNdDy crystal, computed with PBE.

It has space group P3m1 (No. 156), with a = 5.9355 Å, b = 5.9355 Å, c = 3.6250 Å, α = 90.00°, β = 90.00° and γ = 120.00°. The inequivalent atoms are Ac at (0.0000, 0.0000, 0.0000), Nd at (0.6667, 0.3333, 0.4995) and Dy at (0.3333, 0.6667, 0.9984).

The calculated volume comes out at 110.60 Å³/f.u. The density of states at the Fermi level is 1.47 states/eV per atom.

=====

Model x:
A relaxed AcNdDy crystal, computed with PBE.

It has space group I4mm (No. 107), with a = 3.7747 Å, b = 3.7747 Å, c = 15.6068 Å, α = 90.00°, β = 90.00° and γ = 90.00°. The inequivalent atoms are Ac at (0.0000, 0.0000, 0.0000), Nd at (0.0000, 0.0000, 0.3251) and Dy at (0.0000, 0.0000, 0.6697).

The calculated volume comes out at 111.19 Å³/f.u. The density of states at the Fermi level is 1.58 states/eV per atom.

=====

Model y:
A relaxed AcNdDy crystal, computed with PBE.

It has space group P2_1/m (No. 11), with a = 3.7046 Å, b = 5.7069 Å, c = 10.6927 Å, α = 90.00°, β = 99.88° and γ = 90.00°. The inequivalent atoms are Ac at (0.2049, 0.2500, 0.4071), Nd at (0.0355, 0.2500, 0.0733) and Dy at (0.3868, 0.2500, 0.7739).

The calculated volume comes out at 111.36 Å³/f.u. The density of states at the Fermi level is 1.75 states/eV per atom.

=====

Model z:
A relaxed AcNdDy crystal, computed with PBE.

It has space group P4/nmm (No. 129, origin choice 2), with a = 5.1281 Å, b = 5.1281 Å, c = 8.8531 Å, α = 90.00°, β = 90.00° and γ = 90.00°. The inequivalent atoms are Ac at (0.2500, 0.7500, 0.0000), Nd at (0.2500, 0.2500, 0.3027) and Dy at (0.2500, 0.2500, 0.6972).

The calculated volume comes out at 116.41 Å³/f.u. The density of states at the Fermi level is 1.56 states/eV per atom.

=====

Last place for stability: model z